[1]
# CaMg2OsN4

A relaxed CaMg2OsN4 crystal (GGA-PBE, the Alexandria database).

Values from the calculation:
* volume: 14.40 A^3/atom
* raw total energy: -6.64 eV per atom
* DOS at the Fermi energy: 5.37 states/eV/cell

Unit cell a=7.236 b=5.891 c=5.405 alpha=90.00 beta=90.00 gamma=90.00
Element x y z (fractional)
Ca1 0.000 0.164 0.000
Ca2 0.500 0.836 0.500
Mg1 0.247 0.331 0.518
Mg2 0.253 0.669 0.018
Mg3 0.747 0.669 0.018
Mg4 0.753 0.331 0.518
Os1 0.000 0.817 0.525
Os2 0.500 0.183 0.025
N1 0.000 0.136 0.464
N2 0.000 0.782 0.873
N3 0.211 0.670 0.405
N4 0.289 0.330 0.905
N5 0.500 0.218 0.373
N6 0.500 0.864 0.964
N7 0.711 0.330 0.905
N8 0.789 0.670 0.405

***

[2]
# CaMg2PN4

A relaxed CaMg2PN4 crystal (GGA-PBE, the Alexandria database).

Values from the calculation:
* volume: 12.84 A^3/atom
* raw total energy: -6.29 eV per atom
* DOS at the Fermi energy: 8.32 states/eV/cell

Unit cell a=7.049 b=5.545 c=5.258 alpha=90.00 beta=90.00 gamma=90.00
Element x y z (fractional)
Ca1 0.000 0.163 0.000
Ca2 0.500 0.837 0.500
Mg1 0.246 0.327 0.519
Mg2 0.254 0.673 0.019
Mg3 0.746 0.673 0.019
Mg4 0.754 0.327 0.519
P1 0.000 0.812 0.534
P2 0.500 0.188 0.034
N1 0.000 0.109 0.477
N2 0.000 0.765 0.844
N3 0.190 0.683 0.410
N4 0.310 0.317 0.910
N5 0.500 0.235 0.344
N6 0.500 0.891 0.977
N7 0.690 0.317 0.910
N8 0.810 0.683 0.410

***

[3]
# Ca3MgPa2N6

A relaxed Ca3MgPa2N6 crystal (GGA-PBE, the Alexandria database).

Values from the calculation:
* volume: 14.89 A^3/atom
* raw total energy: -7.74 eV per atom

Unit cell a=7.654 b=7.654 c=6.979 alpha=104.28 beta=104.28 gamma=26.85
Element x y z (fractional)
Ca1 0.000 0.000 0.000
Ca2 0.340 0.340 0.666
Ca3 0.660 0.660 0.334
Mg1 0.000 0.000 0.500
Pa1 0.340 0.340 0.183
Pa2 0.660 0.660 0.817
N1 0.163 0.163 0.603
N2 0.177 0.177 0.057
N3 0.490 0.490 0.251
N4 0.510 0.510 0.749
N5 0.823 0.823 0.943
N6 0.837 0.837 0.397

***

[4]
# Ca2MgPaN4

A relaxed Ca2MgPaN4 crystal (GGA-PBE, the Alexandria database).

Values from the calculation:
* volume: 14.62 A^3/atom
* raw total energy: -6.90 eV per atom
* DOS at the Fermi energy: 9.09 states/eV/cell

Unit cell a=6.001 b=6.001 c=12.124 alpha=90.00 beta=90.00 gamma=147.61
Element x y z (fractional)
Ca1 0.134 0.866 0.538
Ca2 0.134 0.866 0.962
Ca3 0.866 0.134 0.038
Ca4 0.866 0.134 0.462
Mg1 0.374 0.626 0.250
Mg2 0.626 0.374 0.750
Pa1 0.362 0.638 0.750
Pa2 0.638 0.362 0.250
N1 0.009 0.991 0.750
N2 0.230 0.770 0.140
N3 0.230 0.770 0.360
N4 0.500 0.500 0.000
N5 0.500 0.500 0.500
N6 0.770 0.230 0.640
N7 0.770 0.230 0.860
N8 0.991 0.009 0.250

***

[5]
# Ca2Mg2PaN4

A relaxed Ca2Mg2PaN4 crystal (GGA-PBE, the Alexandria database).

Values from the calculation:
* volume: 15.58 A^3/atom
* raw total energy: -6.70 eV per atom
* DOS at the Fermi energy: 1.93 states/eV/cell

Unit cell a=6.075 b=6.075 c=8.324 alpha=122.81 beta=122.81 gamma=33.63
Element x y z (fractional)
Ca1 0.182 0.182 0.279
Ca2 0.818 0.818 0.721
Mg1 0.369 0.369 0.114
Mg2 0.631 0.631 0.886
Pa1 0.000 0.000 0.500
N1 0.205 0.205 0.804
N2 0.421 0.421 0.599
N3 0.579 0.579 0.401
N4 0.795 0.795 0.196

***

[6]
# Ca2MgPbN

A relaxed Ca2MgPbN crystal (GGA-PBE, the Alexandria database).

Values from the calculation:
* volume: 21.95 A^3/atom
* raw total energy: -4.18 eV per atom
* DOS at the Fermi energy: 1.17 states/eV/cell

Unit cell a=5.138 b=5.138 c=4.157 alpha=90.00 beta=90.00 gamma=90.00
Element x y z (fractional)
Ca1 0.000 0.500 0.000
Ca2 0.500 0.000 0.000
Mg1 0.000 0.000 0.500
Pb1 0.500 0.500 0.500
N1 0.000 0.000 0.000